[1]
! PBE NaMg2Pb, optimized geometry; values from VASP
&SYSTEM
  ibrav = 0, nat = 8, ntyp = 3
/
ATOMIC_SPECIES
Na 22.99 Na.upf
Mg 24.30 Mg.upf
Pb 207.20 Pb.upf
ATOMIC_POSITIONS crystal
Na 0.500 0.500 0.000
Na 0.250 0.750 0.500
Mg 0.875 0.882 0.750
Mg 0.632 0.125 0.250
Mg 0.375 0.368 0.750
Mg 0.118 0.625 0.250
Pb 0.750 0.250 0.500
Pb 0.000 0.000 0.000
CELL_PARAMETERS angstrom
-0.413 -4.511 -0.099
0.303 0.072 -4.520
10.881 -3.236 -1.592
! * symmetry: I-42d, No. 122
! * energy of formation from the pure elements: 0.149 eV per atom

***

[2]
! PBE NaMgPb, optimized geometry; values from VASP
&SYSTEM
  ibrav = 0, nat = 6, ntyp = 3
/
ATOMIC_SPECIES
Mg 24.30 Mg.upf
Pb 207.20 Pb.upf
Na 22.99 Na.upf
ATOMIC_POSITIONS crystal
Mg 0.717 0.717 0.433
Mg 0.283 0.283 0.567
Pb 0.155 0.155 0.310
Pb 0.845 0.845 0.690
Na 0.574 0.574 0.147
Na 0.426 0.426 0.853
CELL_PARAMETERS angstrom
-0.306 -2.647 -2.811
-1.488 -2.522 2.537
-10.468 6.665 -2.470
! * symmetry: I4/mmm, No. 139
! * distance to the lowest polymorph of the same formula: 0.041 eV per atom
! * energy of formation from the pure elements: -0.094 eV per atom

***

[3]
! PBE NaPmMgPb, optimized geometry; values from VASP
&SYSTEM
  ibrav = 0, nat = 4, ntyp = 4
/
ATOMIC_SPECIES
Pb 207.20 Pb.upf
Pm 145.00 Pm.upf
Na 22.99 Na.upf
Mg 24.30 Mg.upf
ATOMIC_POSITIONS crystal
Pb 0.750 0.750 0.750
Pm 0.500 0.500 0.500
Na 0.000 0.000 0.000
Mg 0.250 0.250 0.250
CELL_PARAMETERS angstrom
5.425 0.000 0.000
2.713 4.699 0.000
2.713 1.566 4.430
! * symmetry: F-43m, No. 216
! * energy of formation from the pure elements: -0.192 eV per atom

***

[4]
! PBE NaPrMgPb, optimized geometry; values from VASP
&SYSTEM
  ibrav = 0, nat = 4, ntyp = 4
/
ATOMIC_SPECIES
Mg 24.30 Mg.upf
Pb 207.20 Pb.upf
Pr 140.91 Pr.upf
Na 22.99 Na.upf
ATOMIC_POSITIONS crystal
Mg 0.250 0.250 0.250
Pb 0.750 0.750 0.750
Pr 0.500 0.500 0.500
Na 0.000 0.000 0.000
CELL_PARAMETERS angstrom
-0.836 -0.413 -5.389
-4.696 -2.072 -1.888
-3.635 3.262 -2.461
! * symmetry: F-43m, No. 216
! * energy of formation from the pure elements: -0.203 eV per atom

***

[5]
! PBE NaMgPtPb, optimized geometry; values from VASP
&SYSTEM
  ibrav = 0, nat = 4, ntyp = 4
/
ATOMIC_SPECIES
Pb 207.20 Pb.upf
Pt 195.08 Pt.upf
Na 22.99 Na.upf
Mg 24.30 Mg.upf
ATOMIC_POSITIONS crystal
Pb 0.000 0.000 0.000
Pt 0.750 0.750 0.750
Na 0.250 0.250 0.250
Mg 0.500 0.500 0.500
CELL_PARAMETERS angstrom
4.848 0.000 0.000
2.424 4.199 0.000
2.424 1.400 3.959
! * symmetry: F-43m, No. 216
! * energy of formation from the pure elements: -0.320 eV per atom

***

[6]
! PBE NaMgRhPb2, optimized geometry; values from VASP
&SYSTEM
  ibrav = 0, nat = 5, ntyp = 4
/
ATOMIC_SPECIES
Mg 24.30 Mg.upf
Pb 207.20 Pb.upf
Na 22.99 Na.upf
Rh 102.91 Rh.upf
ATOMIC_POSITIONS crystal
Mg 0.000 0.000 0.500
Pb 0.000 0.500 0.000
Pb 0.500 0.000 0.000
Na 0.500 0.500 0.500
Rh 0.000 0.000 0.000
CELL_PARAMETERS angstrom
-3.831 0.670 -3.609
-3.540 -2.052 3.377
-0.924 4.623 1.840
! * symmetry: P4/mmm, No. 123
! * energy of formation from the pure elements: -0.067 eV per atom

***

[7]
! PBE NaMg2RhPb, optimized geometry; values from VASP
&SYSTEM
  ibrav = 0, nat = 5, ntyp = 4
/
ATOMIC_SPECIES
Mg 24.30 Mg.upf
Pb 207.20 Pb.upf
Rh 102.91 Rh.upf
Na 22.99 Na.upf
ATOMIC_POSITIONS crystal
Mg 0.000 0.000 0.500
Mg 0.500 0.000 0.000
Pb 0.000 0.500 0.000
Rh 0.000 0.000 0.000
Na 0.500 0.500 0.500
CELL_PARAMETERS angstrom
5.071 0.000 0.000
0.000 5.185 0.000
0.000 0.000 5.071
! * symmetry: P4/mmm, No. 123
! * energy of formation from the pure elements: -0.153 eV per atom

***

[8]
! PBE NaSmMgPb, optimized geometry; values from VASP
&SYSTEM
  ibrav = 0, nat = 4, ntyp = 4
/
ATOMIC_SPECIES
Na 22.99 Na.upf
Pb 207.20 Pb.upf
Sm 150.36 Sm.upf
Mg 24.30 Mg.upf
ATOMIC_POSITIONS crystal
Na 0.000 0.000 0.000
Pb 0.750 0.750 0.750
Sm 0.500 0.500 0.500
Mg 0.250 0.250 0.250
CELL_PARAMETERS angstrom
5.412 0.000 0.000
2.706 4.687 0.000
2.706 1.562 4.419
! * symmetry: F-43m, No. 216
! * energy of formation from the pure elements: -0.185 eV per atom

***

no.,calculated volume (Å³ per atom),M_tot (μB per formula unit)
1,28.2,0.0
2,30.9,0.0
3,28.2,0.0
4,28.9,0.0
5,20.1,0.0
6,28.5,0.0
7,26.7,0.0
8,28.0,0.0